1.
Here is a relaxed Pr2Y3HoEr6 crystal from Alexandria. Energies are from GGA-PBE.

Cell and atoms, written as extended XYZ:
```
12
Lattice="6.1663 0.0013 0.0067 -3.0805 5.3417 0.0067 -1.0379 -1.7971 11.5951" Properties=species:S:1:pos:R:3 pbc="T T T"
Y 1.0239 1.7730 5.8042
Y 4.1083 -0.0084 5.8042
Y -2.0604 3.5543 5.8042
Pr 3.0832 1.7819 0.0067
Pr 0.0026 3.5611 0.0067
Er 2.0602 3.5672 2.9338
Er -1.0244 1.7753 2.9233
Er 2.0497 -0.0001 2.9233
Er -0.0018 3.5460 8.6851
Er 3.0723 1.7706 8.6851
Er -0.0123 -0.0212 8.6747
Ho 0.0000 0.0000 0.0000
```

Theoretical density in g/cm3: 7.5
Symmetry: C2/m (12)
Energy of formation in eV/atom: 0.0230
Uncorrected energy in eV per atom: -5.05

2.
Here is a relaxed Pr5YHo2Er crystal from Alexandria. Energies are from GGA-PBE.

Cell and atoms, written as extended XYZ:
```
18
Lattice="-5.2399 -1.3177 0.7438 4.6030 -9.4079 -4.2361 2.2103 -3.2985 9.7273" Properties=species:S:1:pos:R:3 pbc="T T T"
Ho -0.5250 -9.2625 -0.1121
Ho 2.1266 -4.8038 6.4713
Ho 1.0289 -3.1636 1.6435
Ho 0.5886 -10.9263 4.7853
Er -0.3596 -8.1063 3.1016
Er 0.8648 -4.3237 -1.5679
Pr 0.4856 -12.3989 1.4511
Pr 0.0184 -0.0294 0.0777
Pr 1.5134 -7.6172 -2.8330
Pr -2.0492 -1.5116 2.8821
Pr -1.0086 -4.8123 4.3652
Pr 2.6565 -7.9457 4.6376
Pr -1.3072 -5.7439 0.6109
Pr 3.6585 -12.5661 3.5107
Pr 0.0603 -7.7884 6.6225
Pr 1.8116 -6.6811 0.9260
Y -2.2020 -2.7172 -0.3303
Y 2.7056 -9.7104 1.8573
```

Theoretical density in g/cm3: 6.8
Symmetry: Cmc2_1 (36)
Energy of formation in eV/atom: 0.1293
Uncorrected energy in eV per atom: -4.77

3.
Here is a relaxed PrY2HoEr5 crystal from Alexandria. Energies are from GGA-PBE.

Cell and atoms, written as extended XYZ:
```
18
Lattice="-5.1289 -1.0269 -2.0055 -0.8343 -0.4511 10.1888 -2.1761 10.3243 0.2790" Properties=species:S:1:pos:R:3 pbc="T T T"
Er -3.5706 6.7506 5.6750
Er -4.8590 6.6792 9.0066
Er -2.5961 2.6769 5.2688
Er -5.8130 7.4492 3.2280
Er -0.1844 0.2271 0.3552
Er -4.3927 1.2607 2.7647
Er -6.9780 3.9843 7.9818
Er -4.4605 4.6571 1.1989
Er -3.2214 1.8874 -0.5519
Er -2.6853 -0.5244 7.1360
Y -2.3498 7.3594 2.2413
Y -1.4632 3.0814 2.1642
Y -6.9789 7.2013 6.3368
Y -5.7179 1.1470 6.2118
Pr -3.8227 3.8786 7.7905
Pr -5.2028 9.1722 0.7853
Ho -5.7096 4.1958 4.6297
Ho -1.3937 -0.2646 3.6998
```

Theoretical density in g/cm3: 7.5
Symmetry: Cmc2_1 (36)
Energy of formation in eV/atom: 0.1610
Uncorrected energy in eV per atom: -4.85

4.
Here is a relaxed Pr2YHoEr crystal from Alexandria. Energies are from GGA-PBE.

Cell and atoms, written as extended XYZ:
```
10
Lattice="-1.8885 -5.0833 4.8831 4.6255 -5.6879 -4.1322 2.3071 4.2441 5.3102" Properties=species:S:1:pos:R:3 pbc="T T T"
Pr 3.2162 -3.9549 -2.8732
Pr 2.2719 -6.4965 -0.4316
Pr 0.4651 -4.2747 1.1826
Pr 1.4093 -1.7330 -1.2590
Y 3.1656 -5.9687 3.1898
Y 1.8784 -0.5585 2.8714
Er 1.2551 -3.0028 5.5383
Er 3.7890 -3.5243 0.5229
Ho -1.1629 -3.7356 3.8404
Ho 6.2069 -2.7915 2.2208
```

Theoretical density in g/cm3: 6.5
Symmetry: Cmcm (63)
Energy of formation in eV/atom: 0.4179
Uncorrected energy in eV per atom: -4.61

5.
Here is a relaxed PrY2HoEr crystal from Alexandria. Energies are from GGA-PBE.

Cell and atoms, written as extended XYZ:
```
10
Lattice="-6.1704 3.7252 -0.6703 -2.3284 -2.4688 7.7140 3.7156 5.8659 -1.6047" Properties=species:S:1:pos:R:3 pbc="T T T"
Er -0.1343 3.4877 1.0756
Er -4.6489 3.6346 4.3634
Y -4.6938 0.1570 4.9942
Y -1.6086 -1.7056 5.3294
Y -0.7198 -0.7632 2.3846
Y -3.8050 1.0994 2.0495
Pr -1.5342 1.8256 4.7246
Pr -3.2490 5.2967 0.7145
Ho -4.6197 2.8086 -0.4955
Ho -0.1635 4.3137 5.9346
```

Theoretical density in g/cm3: 6.2
Symmetry: Cmcm (63)
Energy of formation in eV/atom: 0.3808
Uncorrected energy in eV per atom: -4.99

6.
Here is a relaxed Pr5Y2HoEr crystal from Alexandria. Energies are from GGA-PBE.

Cell and atoms, written as extended XYZ:
```
18
Lattice="-2.0106 8.3435 0.8075 -5.2453 -1.9000 6.5715 10.0645 -2.1966 1.7444" Properties=species:S:1:pos:R:3 pbc="T T T"
Pr 4.0353 -2.0566 5.0555
Pr 0.0000 0.0000 0.0000
Pr 2.6611 1.9815 5.9215
Pr 6.5165 -0.5198 1.8265
Pr 5.1423 3.5183 2.6925
Pr -3.6279 3.2217 3.6895
Pr -1.2266 6.3035 4.0679
Pr -3.7079 4.7667 7.2969
Pr 0.1476 2.2654 3.2020
Pr -2.3337 0.7286 6.4309
Er 2.2130 4.6843 3.1207
Er 0.5956 -0.4374 6.0027
Ho -0.4096 3.7343 6.4065
Ho 3.2183 0.5126 2.7170
Y -1.8984 4.9649 1.3121
Y -5.3574 1.4786 6.0669
Y -5.0314 6.1325 4.8028
Y -2.2245 0.3109 2.5762
```

Theoretical density in g/cm3: 6.4
Symmetry: I4/mcm (140)
Energy of formation in eV/atom: 0.3141
Uncorrected energy in eV per atom: -4.79

7.
Here is a relaxed Pr6YHo2Er3 crystal from Alexandria. Energies are from GGA-PBE.

Cell and atoms, written as extended XYZ:
```
12
Lattice="-0.4602 -2.3247 -5.8305 -3.0812 -2.7641 4.7410 -8.0444 8.5394 -1.6396" Properties=species:S:1:pos:R:3 pbc="T T T"
Ho -1.3341 -2.4712 -2.3056
Ho -2.2073 -2.6175 1.2160
Er -4.9193 1.8718 -4.8882
Er -5.7929 1.7253 -1.3646
Er -6.6665 1.5789 2.1591
Pr -9.1165 2.5124 -0.2783
Pr -3.3450 0.7914 1.0811
Pr -6.9095 5.1210 -1.5003
Pr -2.4693 0.9382 -2.4508
Pr -8.2408 2.6592 -3.8102
Pr -4.6763 -1.6703 -1.2288
Y 0.0000 0.0000 0.0000
```

Theoretical density in g/cm3: 7.3
Symmetry: C2/m (12)
Energy of formation in eV/atom: 0.0122
Uncorrected energy in eV per atom: -4.82

8.
Here is a relaxed Pr2Y2HoEr2 crystal from Alexandria. Energies are from GGA-PBE.

Cell and atoms, written as extended XYZ:
```
7
Lattice="-0.0927 -3.4404 0.7494 0.7009 0.4574 -6.0912 11.5701 -0.8390 -2.4207" Properties=species:S:1:pos:R:3 pbc="T T T"
Er 7.6268 -1.1091 -4.1485
Er 4.5515 -2.7129 -3.6139
Y 9.4863 -1.7871 -7.0312
Y 2.6920 -2.0349 -0.7313
Pr 1.4296 -0.9002 -3.9557
Pr 10.7488 -2.9218 -3.8068
Ho 5.7851 -0.4195 -1.2103
```

Theoretical density in g/cm3: 6.8
Symmetry: C2/m (12)
Energy of formation in eV/atom: 0.0851
Uncorrected energy in eV per atom: -5.09

9.
Here is a relaxed PrY6HoEr2 crystal from Alexandria. Energies are from GGA-PBE.

Cell and atoms, written as extended XYZ:
```
20
Lattice="9.0976 -1.9208 -1.9934 0.8382 8.5481 -1.9549 0.8382 -2.2703 8.4698" Properties=species:S:1:pos:R:3 pbc="T T T"
Ho 7.6614 2.6607 0.8350
Ho 3.1126 1.6962 3.6865
Y 6.6883 -2.4840 3.3707
Y 6.5871 1.3686 3.8163
Y 2.0383 4.7233 2.5058
Y 8.6345 -0.0640 5.8821
Y 5.8028 5.1179 -1.5677
Y 8.7357 -0.3664 2.0157
Y 4.9712 -0.7610 6.0892
Y 9.5200 5.1528 -1.5315
Y 1.2540 -0.7959 6.0530
Y 4.1869 2.9884 0.7052
Y 2.1395 4.4209 -1.3606
Y 4.0857 6.8409 1.1508
Pr 3.1126 7.7516 -2.1484
Pr 7.6614 -3.3947 6.6699
Er 0.8813 2.0432 1.0011
Er 5.4301 -0.0358 1.0822
Er 9.8927 2.3138 3.5204
Er 5.3439 4.3927 3.4393
```

Theoretical density in g/cm3: 6.0
Symmetry: C2/c (15)
Energy of formation in eV/atom: 0.1192
Uncorrected energy in eV per atom: -5.61

10.
Here is a relaxed Pr3Y6HoEr2 crystal from Alexandria. Energies are from GGA-PBE.

Cell and atoms, written as extended XYZ:
```
12
Lattice="6.2299 0.0006 0.0028 -3.1129 5.3964 0.0028 -1.0411 -1.8027 11.6889" Properties=species:S:1:pos:R:3 pbc="T T T"
Y -0.0004 3.5952 8.8289
Y -1.0384 1.7979 2.8655
Y 2.0762 -0.0009 2.8655
Y 2.0770 3.5963 2.8681
Y 3.1142 1.7963 8.8289
Y -0.0012 -0.0020 8.8263
Pr 1.0379 1.7971 5.8472
Pr -2.0771 3.5962 5.8472
Pr 4.1530 -0.0019 5.8472
Er 0.0007 3.5981 0.0028
Er 3.1162 1.7988 0.0028
Ho 0.0000 0.0000 0.0000
```

Theoretical density in g/cm3: 6.1
Symmetry: C2/m (12)
Energy of formation in eV/atom: 0.0212
Uncorrected energy in eV per atom: -5.55

11.
Here is a relaxed PrY2Ho3Er6 crystal from Alexandria. Energies are from GGA-PBE.

Cell and atoms, written as extended XYZ:
```
12
Lattice="-4.7085 -3.9075 0.3072 4.9018 -0.8300 3.5799 -4.9437 8.0965 6.9038" Properties=species:S:1:pos:R:3 pbc="T T T"
Er -1.9463 3.0173 8.6116
Er 0.4007 1.3679 3.2706
Er -1.1043 -1.5136 4.6661
Er -5.1511 1.9911 7.5203
Er -3.6461 4.8725 6.1249
Er -2.8040 0.3416 2.1793
Pr 0.0000 0.0000 0.0000
Ho -5.5758 0.6545 4.3055
Ho -2.3752 1.6795 5.3955
Ho 0.8254 2.7044 6.4854
Y 1.6988 -1.8557 2.4891
Y -1.5054 -2.8818 1.3980
```

Theoretical density in g/cm3: 8.0
Symmetry: C2/m (12)
Energy of formation in eV/atom: 0.0227
Uncorrected energy in eV per atom: -4.88

12.
Here is a relaxed PrYHo2Er5 crystal from Alexandria. Energies are from GGA-PBE.

Cell and atoms, written as extended XYZ:
```
18
Lattice="8.9833 0.0000 0.0000 0.0000 8.9833 0.0000 -4.4917 -4.4917 7.2227" Properties=species:S:1:pos:R:3 pbc="T T T"
Ho 5.4914 0.9998 0.0000
Ho 3.4919 7.9836 0.0000
Ho 0.9998 3.4919 0.0000
Ho 7.9836 5.4914 0.0000
Er 0.0000 0.0000 0.0000
Er -1.8394 -2.6522 5.3486
Er 7.1439 2.6522 1.8740
Er 4.4917 4.4917 0.0000
Er 2.6522 -1.8394 5.3486
Er -2.6522 1.8394 5.3486
Er 1.8394 6.3311 1.8740
Er 2.6522 1.8394 1.8740
Er 6.3311 7.1439 1.8740
Er 1.8394 2.6522 5.3486
Y 4.4917 0.0000 3.6113
Y 0.0000 4.4917 3.6113
Pr 0.0000 0.0000 3.6113
Pr 4.4917 4.4917 3.6113
```

Theoretical density in g/cm3: 8.0
Symmetry: I4/mcm (140)
Energy of formation in eV/atom: 0.2901
Uncorrected energy in eV per atom: -4.51

13.
Here is a relaxed PrYHo3Er crystal from Alexandria. Energies are from GGA-PBE.

Cell and atoms, written as extended XYZ:
```
12
Lattice="5.6494 0.0000 0.0000 -2.8247 9.6697 1.6096 0.0000 -1.2153 6.9348" Properties=species:S:1:pos:R:3 pbc="T T T"
Y 2.8247 7.7636 6.4955
Y 0.0000 0.6907 2.0489
Pr 2.8247 2.7658 0.6391
Pr 0.0000 5.6885 7.9053
Ho 2.8247 6.1746 2.9884
Ho 0.0000 8.9009 3.3861
Ho 0.0000 3.9679 2.3963
Ho 2.8247 -0.4466 5.1582
Ho 2.8247 4.4864 6.1480
Ho 0.0000 2.2797 5.5560
Er 2.8247 2.3570 3.6341
Er 0.0000 6.0974 4.9102
```

Theoretical density in g/cm3: 7.6
Symmetry: C2/m (12)
Energy of formation in eV/atom: 0.2076
Uncorrected energy in eV per atom: -4.72

14.
Here is a relaxed Pr2Y2HoEr4 crystal from Alexandria. Energies are from GGA-PBE.

Cell and atoms, written as extended XYZ:
```
9
Lattice="-2.9904 0.9758 -1.7560 3.9701 -5.8821 -6.3342 -5.3277 -4.2382 6.7178" Properties=species:S:1:pos:R:3 pbc="T T T"
Pr -0.6824 -1.2953 -3.2530
Pr -3.6655 -7.8492 1.8806
Y -2.7989 -4.3802 2.3324
Y -1.5491 -4.7643 -3.7047
Ho 0.0000 0.0000 0.0000
Er -3.1799 -1.1408 1.0859
Er -3.4687 -5.7179 -0.9656
Er -1.1681 -8.0037 -2.4583
Er -0.8792 -3.4266 -0.4068
```

Theoretical density in g/cm3: 7.4
Symmetry: C2/m (12)
Energy of formation in eV/atom: -0.0012
Uncorrected energy in eV per atom: -5.04

15.
Here is a relaxed PrY2Ho6Er3 crystal from Alexandria. Energies are from GGA-PBE.

Cell and atoms, written as extended XYZ:
```
12
Lattice="-5.2343 0.5315 -3.1512 5.1429 -1.7053 -2.8727 -2.4199 -10.7041 4.1972" Properties=species:S:1:pos:R:3 pbc="T T T"
Ho -2.3667 -2.6364 -0.5001
Ho -0.1445 -9.2414 -1.3266
Ho -3.6049 -8.4956 -1.4195
Ho -0.6817 -3.5940 -3.4639
Ho 1.0937 -3.3823 -0.4072
Ho -1.8295 -8.2838 1.6372
Er -4.7110 -5.1941 -1.0061
Er 2.1998 -6.6837 -0.8206
Er -1.2556 -5.9389 -0.9134
Pr 0.0000 0.0000 0.0000
Y 1.6839 -0.9597 -2.9655
Y -1.7753 -0.2141 -3.0584
```

Theoretical density in g/cm3: 8.0
Symmetry: C2/m (12)
Energy of formation in eV/atom: 0.0218
Uncorrected energy in eV per atom: -4.88

16.
Here is a relaxed Pr2YHo3Er6 crystal from Alexandria. Energies are from GGA-PBE.

Cell and atoms, written as extended XYZ:
```
12
Lattice="6.1526 0.0016 0.0078 -3.0734 5.3300 0.0078 -1.0369 -1.7953 11.5676" Properties=species:S:1:pos:R:3 pbc="T T T"
Er -0.0112 -0.0194 8.6316
Er 3.0667 1.7617 8.6429
Er 2.0535 3.5556 2.9516
Er 2.0490 -0.0005 2.9402
Er -1.0244 1.7745 2.9402
Er -0.0066 3.5367 8.6429
Y 0.0000 0.0000 0.0000
Ho -2.0562 3.5454 5.7916
Ho 1.0212 1.7681 5.7916
Ho 4.0985 -0.0091 5.7916
Pr 0.0027 3.5534 0.0078
Pr 3.0765 1.7782 0.0078
```

Theoretical density in g/cm3: 8.2
Symmetry: C2/m (12)
Energy of formation in eV/atom: 0.0222
Uncorrected energy in eV per atom: -4.74

17.
Here is a relaxed PrYHoEr2 crystal from Alexandria. Energies are from GGA-PBE.

Cell and atoms, written as extended XYZ:
```
10
Lattice="-2.8431 -6.2698 -2.1583 5.8585 -0.6015 -5.9702 0.5000 -2.5102 6.6334" Properties=species:S:1:pos:R:3 pbc="T T T"
Y 4.2212 -7.8099 -0.9609
Y -0.7057 -1.5716 -0.5342
Pr -0.2639 -6.2339 0.3690
Pr 3.7794 -3.1476 -1.8641
Ho 2.3052 -6.2394 -2.9992
Ho 1.2102 -3.1420 1.5041
Er 2.6125 -3.5490 -5.1902
Er 4.0341 -0.4142 -4.1110
Er 0.4029 -3.3222 -2.9384
Er 1.8244 -0.1873 -1.8592
```

Theoretical density in g/cm3: 7.0
Symmetry: Cmcm (63)
Energy of formation in eV/atom: 0.3844
Uncorrected energy in eV per atom: -4.61

18.
Here is a relaxed PrY5HoEr2 crystal from Alexandria. Energies are from GGA-PBE.

Cell and atoms, written as extended XYZ:
```
18
Lattice="5.6292 0.0000 0.0000 -2.8146 10.0573 0.0000 0.0000 0.0000 10.5473" Properties=species:S:1:pos:R:3 pbc="T T T"
Er 2.8146 7.7950 8.6371
Er 0.0000 2.2624 3.3635
Er 2.8146 7.8490 2.4956
Er 0.0000 2.2083 7.7693
Y 0.0000 0.3243 0.2497
Y 0.0000 9.6208 7.7772
Y 0.0000 7.8573 0.2635
Y 2.8146 2.2001 5.5372
Y 2.8146 4.4478 8.5736
Y 2.8146 4.0012 2.1608
Y 2.8146 9.7330 5.5234
Y 0.0000 5.6095 3.2999
Y 0.0000 6.0562 7.4345
Y 2.8146 0.4365 2.5035
Pr 2.8146 6.0849 5.4225
Pr 0.0000 3.9724 0.1488
Ho 2.8146 1.7431 10.0264
Ho 0.0000 8.3142 4.7527
```

Theoretical density in g/cm3: 6.0
Symmetry: Cmc2_1 (36)
Energy of formation in eV/atom: 0.1572
Uncorrected energy in eV per atom: -5.49

19.
Here is a relaxed PrY2Ho5Er crystal from Alexandria. Energies are from GGA-PBE.

Cell and atoms, written as extended XYZ:
```
18
Lattice="-3.7735 3.0806 2.7973 2.6104 -7.6572 6.3138 7.7872 5.9309 3.9732" Properties=species:S:1:pos:R:3 pbc="T T T"
Ho 4.7550 3.6908 7.9900
Ho 6.4342 -1.4894 10.3198
Ho 2.8407 -1.5965 5.5901
Ho 2.3399 3.2578 5.2088
Ho -0.0094 2.6919 2.6629
Ho 2.8969 -1.2317 10.9043
Ho 0.2213 -0.0842 0.3912
Ho 0.0332 0.3081 5.3456
Ho 0.7308 -4.6099 6.0625
Ho 5.9524 0.5599 7.4129
Er 0.3829 -2.3867 3.1449
Er 2.5321 0.9161 8.0469
Y 5.8743 2.9928 4.6284
Y 0.4961 -1.8318 8.3266
Y 5.0532 1.6686 10.6191
Y 2.6506 0.5080 3.0161
Pr 5.6609 6.1775 6.4736
Pr 4.1366 -2.4062 8.2299
```

Theoretical density in g/cm3: 7.4
Symmetry: Cmc2_1 (36)
Energy of formation in eV/atom: 0.1597
Uncorrected energy in eV per atom: -4.86

Number 1: spin magnetization 0.00 μB per cell. Number 2: spin magnetization 0.00 μB per cell. Number 3: spin magnetization 0.00 μB per cell. Number 4: spin magnetization 0.00 μB per cell. Number 5: spin magnetization 0.00 μB per cell. Number 6: spin magnetization 0.00 μB per cell. Number 7: spin magnetization 0.00 μB per cell. Number 8: spin magnetization 0.00 μB per cell. Number 9: spin magnetization 0.00 μB per cell. Number 10: spin magnetization 0.00 μB per cell. Number 11: spin magnetization 0.00 μB per cell. Number 12: spin magnetization 0.00 μB per cell. Number 13: spin magnetization 0.00 μB per cell. Number 14: spin magnetization 0.00 μB per cell. Number 15: spin magnetization 0.00 μB per cell. Number 16: spin magnetization 0.00 μB per cell. Number 17: spin magnetization 0.00 μB per cell. Number 18: spin magnetization 0.00 μB per cell. Number 19: spin magnetization 0.00 μB per cell.